Crystalline Zr2TcSe at its relaxed geometry. Source: the Alexandria database, functional PBE.

Density in kg/m3: 7474
Formation energy (no corrections) in kJ per mole of atoms: -56
VASP energy in eV per atom: -8.32
Magnetic moment in μB per formula unit: 0.00

Unit cell a=3.4573 b=3.4573 c=23.1433 alpha=90.00 beta=90.00 gamma=120.00
Last column: nearest neighbours and their distance in Å.
Space group R-3m (No. 166, hexagonal axes)
Unique sites:
1 Zr 0.0000 0.0000 0.2482 (multiplicity 6)  3 Tc 2.75, 3 Se 2.80
2 Tc 0.0000 0.0000 0.5000 (multiplicity 3)  6 Zr 2.75
3 Se 0.0000 0.0000 0.0000 (multiplicity 3)  6 Zr 2.80